Entry 1:
Below is crystalline CaSi2Ag at its relaxed geometry, with properties calculated at the PBEsol level.

Unit cell a=3.9221 b=3.9221 c=6.6248 alpha=72.78 beta=72.78 gamma=60.00
Positions (direct):
Ag (0.4772, 0.4772, 0.5684)
Ca (0.2523, 0.2523, 0.2431)
Si (0.0275, 0.0275, 0.9174)
Si (0.7430, 0.7430, 0.7711)

Summary:
E: -17.18 eV for the cell shown

Entry 2:
Below is crystalline Ca2Si2Ag at its relaxed geometry, with properties calculated at the PBEsol level.

Unit cell a=4.7243 b=4.7243 c=6.5866 alpha=111.02 beta=111.02 gamma=90.00
Positions (direct):
Ca (0.2500, 0.7500, 0.5000)
Ca (0.7500, 0.2500, 0.5000)
Si (0.4038, 0.4038, 0.8076)
Si (0.5962, 0.5962, 0.1924)
Ag (0.0000, 0.0000, 0.0000)

Summary:
Polymorph energy (0 for the lowest one): 609.6 meV/atom

Entry 3:
Below is crystalline Ca2Si2Ag at its relaxed geometry, with properties calculated at the PBEsol level.

Unit cell a=4.5387 b=6.8132 c=6.8132 alpha=90.00 beta=90.00 gamma=90.00
Positions (direct):
Ca (0.5000, 0.1701, 0.6701)
Ca (0.5000, 0.6701, 0.8299)
Ca (0.5000, 0.8299, 0.3299)
Ca (0.5000, 0.3299, 0.1701)
Si (0.0000, 0.3710, 0.8710)
Si (0.0000, 0.8710, 0.6290)
Si (0.0000, 0.6290, 0.1290)
Si (0.0000, 0.1290, 0.3710)
Ag (0.0000, 0.0000, 0.0000)
Ag (0.0000, 0.5000, 0.5000)

Summary:
Polymorph energy (0 for the lowest one): 0.0 meV/atom

Entry 4:
Below is crystalline CaSiAg2 at its relaxed geometry, with properties calculated at the PBEsol level.

Unit cell a=4.1123 b=4.2881 c=4.2881 alpha=90.00 beta=90.00 gamma=90.00
Positions (direct):
Ag (0.0000, 0.0000, 0.5000)
Ag (0.0000, 0.5000, 0.0000)
Ca (0.5000, 0.5000, 0.5000)
Si (0.5000, 0.0000, 0.0000)

Summary:
E: -14.75 eV for the cell shown